Record 1
CsMgNb GGA-PBE optimized geometry; symmetry = P-6m2, No. 187; total energy = -2.758 eV per atom; V = 86.4 Å³ per cell; spin magnetization = 0.0004 μB per atom; polymorph energy (0 for the lowest one) = 0.927 eV/atom
1.0
4.895 -2.826 0.000
0.000 5.652 0.000
0.000 0.000 3.122
Nb Cs Mg
1 1 1
direct
0.333 0.667 0.000
0.667 0.333 0.500
0.000 0.000 0.000

=====

Record 2
CsPtPb GGA-PBE optimized geometry; symmetry = I4mm, No. 107; total energy = -3.642 eV per atom; V = 95.2 Å³ per cell; spin magnetization = 0.0000 μB per atom; polymorph energy (0 for the lowest one) = 0.130 eV/atom
1.0
3.726 0.000 0.000
0.000 3.726 0.000
-1.863 -1.863 6.858
Cs Pt Pb
1 1 1
direct
0.991 0.991 0.982
0.295 0.295 0.590
0.714 0.714 0.428

=====

Record 3
SrSi4Rh6 GGA-PBE optimized geometry; symmetry = P-6m2, No. 187; total energy = -7.008 eV per atom; V = 165.6 Å³ per cell; E_form (uncorrected) = -927 kJ/mol of formula units; spin magnetization = 0.0000 μB per atom
1.0
-2.159 -2.822 1.384
2.600 -4.395 -4.905
3.225 0.610 6.274
Si Rh Sr
4 6 1
direct
0.000 0.333 0.667
0.500 0.407 0.204
0.500 0.796 0.593
0.500 0.796 0.204
0.500 0.200 0.800
0.000 0.934 0.467
0.000 0.533 0.066
0.000 0.533 0.467
0.500 0.200 0.401
0.500 0.599 0.800
0.000 0.000 0.000

=====

Record 4
AcCe2H8 GGA-PBE optimized geometry; symmetry = Immm, No. 71; total energy = -4.417 eV per atom; V = 129.2 Å³ per cell; spin magnetization = 0.1934 μB per atom
1.0
3.790 0.000 -1.153
-0.813 4.702 -2.670
0.005 0.694 6.819
H Ac Ce
8 1 2
direct
0.333 0.564 0.666
0.333 0.102 0.666
0.163 0.163 0.327
0.000 0.287 0.000
0.000 0.713 0.000
0.667 0.436 0.334
0.667 0.898 0.334
0.837 0.837 0.673
0.500 0.000 0.000
0.173 0.673 0.346
0.827 0.327 0.654

=====

Record 5
YVSn2Os GGA-PBE optimized geometry; symmetry = P4/mmm, No. 123; total energy = -4.828 eV per atom; V = 137.4 Å³ per cell; spin magnetization = 0.5108 μB per atom; polymorph energy (0 for the lowest one) = 1.726 eV/atom
1.0
-2.289 -5.005 0.334
0.668 -0.008 4.469
-4.949 2.314 0.744
Y Sn V Os
1 2 1 1
direct
0.000 0.000 0.000
0.000 0.000 0.500
0.500 0.000 0.000
0.000 0.500 0.000
0.500 0.500 0.500

=====

Record 6
RbLiYS2 GGA-PBE optimized geometry; symmetry = Cmme, No. 67; total energy = -4.770 eV per atom; V = 312.9 Å³ per cell; E_form (uncorrected) = -603 kJ/mol of formula units; spin magnetization = 0.0000 μB per atom
1.0
-3.434 3.536 1.113
0.392 -2.024 7.642
5.531 6.232 -2.732
Rb S Li Y
2 4 2 2
direct
0.834 0.250 0.500
0.166 0.750 0.500
0.349 0.106 0.211
0.651 0.894 0.789
0.349 0.394 0.789
0.651 0.606 0.211
0.000 0.000 0.000
0.000 0.500 0.000
0.500 0.750 0.000
0.500 0.250 0.000

=====

Record 7
CePaGa2 GGA-PBE optimized geometry; symmetry = P4/mmm, No. 123; total energy = -5.749 eV per atom; V = 87.9 Å³ per cell; spin magnetization = 0.0048 μB per atom; polymorph energy (0 for the lowest one) = 0.000 eV/atom
1.0
-3.006 0.858 0.624
-0.226 -2.348 2.144
2.812 5.364 6.172
Ga Pa Ce
2 1 1
direct
0.000 0.000 0.754
0.000 0.000 0.246
0.500 0.500 0.000
0.500 0.500 0.500

=====

Record 8
Sm4Dy3Mg GGA-PBE optimized geometry; symmetry = P4/mmm, No. 123; total energy = -4.293 eV per atom; V = 253.5 Å³ per cell; spin magnetization = 0.0000 μB per atom
1.0
3.607 0.000 0.000
0.000 3.607 0.000
0.000 0.000 19.478
Dy Sm Mg
3 4 1
direct
0.500 0.500 0.241
0.500 0.500 0.500
0.500 0.500 0.759
0.000 0.000 0.371
0.000 0.000 0.629
0.000 0.000 0.113
0.000 0.000 0.887
0.500 0.500 0.000

=====

Record 9
Zr4BN2 GGA-PBE optimized geometry; symmetry = Cmcm, No. 63; total energy = -9.398 eV per atom; V = 202.1 Å³ per cell; E_form (uncorrected) = -797 kJ/mol of formula units; spin magnetization = 0.0000 μB per atom
1.0
-2.747 -1.436 1.231
4.012 -3.976 -0.201
3.229 2.732 10.390
Zr N B
8 4 2
direct
0.771 0.542 0.116
0.946 0.891 0.750
0.500 0.000 0.500
0.500 0.000 0.000
0.054 0.109 0.250
0.229 0.458 0.616
0.771 0.542 0.384
0.229 0.458 0.884
0.864 0.729 0.936
0.136 0.271 0.064
0.864 0.729 0.564
0.136 0.271 0.436
0.607 0.215 0.750
0.393 0.785 0.250

=====

Record 10
AlIn2NiHg GGA-PBE optimized geometry; symmetry = P4/mmm, No. 123; total energy = -2.092 eV per atom; V = 148.7 Å³ per cell; spin magnetization = 0.0000 μB per atom
1.0
-0.916 -2.527 -4.792
1.398 -4.283 1.991
-5.189 -0.989 1.514
Hg In Al Ni
1 2 1 1
direct
0.000 0.000 0.000
0.500 0.000 0.000
0.000 0.000 0.500
0.000 0.500 0.000
0.500 0.500 0.500

=====

Record 11
Lu2CdAu GGA-PBE optimized geometry; symmetry = P4/mmm, No. 123; total energy = -3.913 eV per atom; V = 93.0 Å³ per cell; spin magnetization = 0.0001 μB per atom; polymorph energy (0 for the lowest one) = 0.000 eV/atom
1.0
-3.550 0.403 0.581
-0.645 -3.066 -1.814
0.569 -3.689 6.034
Au Cd Lu
1 1 2
direct
0.500 0.500 0.000
0.500 0.500 0.500
0.000 0.000 0.237
0.000 0.000 0.763

=====

Record 12
La2Zr GGA-PBE optimized geometry; symmetry = Fd-3m, No. 227; total energy = -5.560 eV per atom; V = 187.1 Å³ per cell; spin magnetization = 0.2603 μB per atom; polymorph energy (0 for the lowest one) = 0.451 eV/atom
1.0
0.000 4.540 4.540
4.540 0.000 4.540
4.540 4.540 0.000
La Zr
4 2
direct
0.625 0.125 0.625
0.125 0.625 0.625
0.625 0.625 0.125
0.625 0.625 0.625
0.000 0.000 0.000
0.250 0.250 0.250

=====

Record 13
Ta2PtBr GGA-PBE optimized geometry; symmetry = I-4m2, No. 119; total energy = -7.271 eV per atom; V = 72.4 Å³ per cell; E_form (uncorrected) = 225 kJ/mol of formula units; spin magnetization = 0.0000 μB per atom; polymorph energy (0 for the lowest one) = 0.667 eV/atom
1.0
-3.957 -3.685 0.206
1.417 -5.200 0.479
1.195 4.679 2.442
Ta Br Pt
2 1 1
direct
0.250 0.750 0.500
0.000 0.000 0.000
0.500 0.500 0.000
0.750 0.250 0.500

=====

Record 14
Rb2NbAgSe4 GGA-PBE optimized geometry; symmetry = Fddd, No. 70; total energy = -4.521 eV per atom; V = 548.5 Å³ per cell; E_form (uncorrected) = -711 kJ/mol of formula units; spin magnetization = 0.0000 μB per atom; polymorph energy (0 for the lowest one) = 0.019 eV/atom
1.0
-3.012 -4.305 -3.064
1.429 -7.174 2.638
-11.157 -1.120 6.504
Se Ag Rb Nb
8 2 4 2
direct
0.517 0.297 0.613
0.233 0.203 0.887
0.187 0.297 0.387
0.880 0.797 0.887
0.427 0.703 0.387
0.870 0.703 0.613
0.323 0.797 0.113
0.563 0.203 0.113
0.000 0.000 0.000
0.750 0.500 0.500
0.820 0.000 0.359
0.180 0.000 0.641
0.570 0.500 0.859
0.930 0.500 0.141
0.250 0.500 0.500
0.500 0.000 0.000

=====

Record 15
TiZn4Rh GGA-PBE optimized geometry; symmetry = F-43m, No. 216; total energy = -3.650 eV per atom; V = 85.6 Å³ per cell; spin magnetization = 0.1691 μB per atom
1.0
-1.395 4.615 -1.109
-4.608 0.882 -1.567
-3.193 2.389 2.927
Rh Zn Ti
1 4 1
direct
0.000 0.000 0.000
0.625 0.125 0.625
0.625 0.625 0.125
0.625 0.625 0.625
0.125 0.625 0.625
0.250 0.250 0.250

=====

Record 16
HgTeAu2 GGA-PBE optimized geometry; symmetry = F-43m, No. 216; total energy = -2.220 eV per atom; V = 88.9 Å³ per cell; E_form (uncorrected) = 108 kJ/mol of formula units; spin magnetization = 0.0000 μB per atom; polymorph energy (0 for the lowest one) = 0.246 eV/atom
1.0
-1.227 -4.003 -2.751
2.721 -4.194 0.327
-1.920 -4.066 2.210
Au Te Hg
2 1 1
direct
0.000 0.000 0.000
0.250 0.250 0.250
0.750 0.750 0.750
0.500 0.500 0.500

=====

Record 17
NdPaCd2O6 GGA-PBE optimized geometry; symmetry = R3, No. 146; total energy = -7.095 eV per atom; V = 155.7 Å³ per cell; E_form (uncorrected) = -2423 kJ/mol of formula units; spin magnetization = 0.0000 μB per atom
1.0
-1.288 -3.746 -4.325
-1.001 -5.650 1.215
-5.849 -2.098 -0.418
Nd Pa O Cd
1 1 6 2
direct
0.811 0.811 0.566
0.318 0.318 0.047
0.693 0.118 0.773
0.590 0.213 0.255
0.213 0.941 0.255
0.941 0.590 0.255
0.415 0.693 0.773
0.118 0.415 0.773
0.534 0.534 0.399
0.027 0.027 0.918

=====

Record 18
InSBr GGA-PBE optimized geometry; symmetry = P2_1/m, No. 11; total energy = -3.494 eV per atom; V = 178.4 Å³ per cell; E_form (uncorrected) = -188 kJ/mol of formula units; spin magnetization = 0.0000 μB per atom
1.0
3.960 0.000 0.000
0.000 6.691 0.067
0.000 -0.221 6.731
S Br In
2 2 2
direct
0.750 0.930 0.772
0.250 0.070 0.228
0.250 0.419 0.774
0.750 0.581 0.226
0.750 0.214 0.040
0.250 0.786 0.960

=====

Record 19
ZnP2S6 GGA-PBE optimized geometry; symmetry = P-3m1, No. 164; total energy = -4.084 eV per atom; V = 280.1 Å³ per cell; E_form (uncorrected) = 10 kJ/mol of formula units; spin magnetization = 0.0000 μB per atom
1.0
-3.841 6.016 -1.459
3.178 0.616 -5.824
-5.647 -3.518 0.357
S P Zn
6 2 1
direct
0.759 0.672 0.836
0.759 0.164 0.836
0.241 0.836 0.164
0.241 0.836 0.672
0.241 0.328 0.164
0.759 0.164 0.328
0.786 0.333 0.667
0.214 0.667 0.333
0.000 0.000 0.000

=====

Record 20
LaCdCu2 GGA-PBE optimized geometry; symmetry = Cm, No. 8; total energy = -3.633 eV per atom; V = 88.0 Å³ per cell; spin magnetization = 0.0000 μB per atom
1.0
4.388 -0.012 0.018
2.207 3.793 0.018
2.183 1.251 5.289
Cu Cd La
2 1 1
direct
0.696 0.696 0.911
0.032 0.032 0.906
0.286 0.286 0.142
0.486 0.486 0.542